# VP2HO

VP2HO after structural relaxation (GGA+U, Alexandria).

Results
For the theoretical density, the calculation gives 3.8 Mg/m³. The calculation puts the calculated total energy at -5.0400 eV per atom. As for the energy above the most stable polymorph in this dataset: 0.000 eV/atom. The density of states at the Fermi level is 0.44 states/eV/atom.

abc: 3.341 3.341 5.135
angles: 90.00 90.00 90.00
Fractional positions:
P 0.000 0.500 0.000
O 0.000 0.000 0.500
V 0.500 0.500 0.500
H 0.000 0.000 0.000
P 0.500 0.000 0.000